Tm6Tl3Rh | GGA-PBE | relaxed

POSCAR file:
```
Tm6Tl3Rh
1.0
9.196 0.000 0.000
0.000 5.244 0.000
-3.179 0.000 10.694
Tm Tl Rh
12 6 2
Direct
0.047 0.250 0.414 Tm
0.190 0.750 0.169 Tm
0.285 0.250 0.002 Tm
0.349 0.750 0.830 Tm
0.373 0.250 0.334 Tm
0.402 0.250 0.645 Tm
0.598 0.750 0.355 Tm
0.627 0.750 0.666 Tm
0.651 0.250 0.170 Tm
0.715 0.750 0.998 Tm
0.810 0.250 0.831 Tm
0.953 0.750 0.586 Tm
0.011 0.750 0.884 Tl
0.103 0.250 0.715 Tl
0.284 0.750 0.479 Tl
0.716 0.250 0.521 Tl
0.897 0.750 0.285 Tl
0.989 0.250 0.116 Tl
0.458 0.750 0.096 Rh
0.542 0.250 0.904 Rh
```

## Properties
formation energy from the elements: -0.36 eV/atom
mass density: 11.139 Mg/m³
E: -4.49 eV per atom
size of the total moment: 0.0 μB/cell
DOS(E_F): 0.84 states/eV per atom



Tl3MoSe | GGA-PBE | relaxed

POSCAR file:
```
Tl3MoSe
1.0
5.466 0.000 0.000
0.000 5.466 0.000
0.000 0.000 5.466
Tl Mo Se
3 1 1
Direct
0.000 0.000 0.500 Tl
0.000 0.500 0.000 Tl
0.500 0.000 0.000 Tl
0.000 0.000 0.000 Mo
0.500 0.500 0.500 Se
```

## Properties
mass density: 8.013 Mg/m³
uncorrected formation energy: 679.4 meV per atom
E: -3.60 eV per atom
size of the total moment: 3.1 μB/cell
DOS(E_F): 0.53 states/eV per atom



Repeat the first record exactly.
Tm6Tl3Rh | GGA-PBE | relaxed

POSCAR file:
```
Tm6Tl3Rh
1.0
9.196 0.000 0.000
0.000 5.244 0.000
-3.179 0.000 10.694
Tm Tl Rh
12 6 2
Direct
0.047 0.250 0.414 Tm
0.190 0.750 0.169 Tm
0.285 0.250 0.002 Tm
0.349 0.750 0.830 Tm
0.373 0.250 0.334 Tm
0.402 0.250 0.645 Tm
0.598 0.750 0.355 Tm
0.627 0.750 0.666 Tm
0.651 0.250 0.170 Tm
0.715 0.750 0.998 Tm
0.810 0.250 0.831 Tm
0.953 0.750 0.586 Tm
0.011 0.750 0.884 Tl
0.103 0.250 0.715 Tl
0.284 0.750 0.479 Tl
0.716 0.250 0.521 Tl
0.897 0.750 0.285 Tl
0.989 0.250 0.116 Tl
0.458 0.750 0.096 Rh
0.542 0.250 0.904 Rh
```

## Properties
formation energy from the elements: -0.36 eV/atom
mass density: 11.139 Mg/m³
E: -4.49 eV per atom
size of the total moment: 0.0 μB/cell
DOS(E_F): 0.84 states/eV per atom